# MnCoCuRe (GGA-PBE, relaxed)
data_MnCoCuRe
_chemical_formula_sum 'Mn1 Co1 Cu1 Re1'
_symmetry_space_group_name_H-M 'P 1'
_symmetry_Int_Tables_number 1
_cell_length_a 2.591
_cell_length_b 4.517
_cell_length_c 4.496
_cell_angle_alpha 100.38
_cell_angle_beta 106.65
_cell_angle_gamma 90.03
loop_
_symmetry_equiv_pos_as_xyz
'x,y,z'
loop_
_atom_site_label
_atom_site_type_symbol
_atom_site_fract_x
_atom_site_fract_y
_atom_site_fract_z
_atom_site_occupancy
Mn1 Mn 0.428 0.606 0.723 1
Co1 Co 0.697 0.351 0.257 1
Re1 Re 0.189 0.850 0.233 1
Cu1 Cu 0.944 0.121 0.751 1
# - Excess energy over the best structure of this formula in the dataset: 14 meV/atom
# - Energy of formation: 0.1706 eV/atom
# - Electronic total energy: -8.03 eV per atom



# YNb2C2 (GGA-PBE, relaxed)
data_YNb2C2
_chemical_formula_sum 'Y2 Nb4 C4'
_symmetry_space_group_name_H-M 'P 1'
_symmetry_Int_Tables_number 1
_cell_length_a 6.865
_cell_length_b 6.865
_cell_length_c 2.934
_cell_angle_alpha 90.00
_cell_angle_beta 90.00
_cell_angle_gamma 90.00
loop_
_symmetry_equiv_pos_as_xyz
'x,y,z'
loop_
_atom_site_label
_atom_site_type_symbol
_atom_site_fract_x
_atom_site_fract_y
_atom_site_fract_z
_atom_site_occupancy
Nb1 Nb 0.133 0.367 0.000 1
Nb2 Nb 0.367 0.867 0.000 1
Nb3 Nb 0.633 0.133 0.000 1
Nb4 Nb 0.867 0.633 0.000 1
Y1 Y 0.000 0.000 0.000 1
Y2 Y 0.500 0.500 0.000 1
C1 C 0.342 0.158 0.500 1
C2 C 0.658 0.842 0.500 1
C3 C 0.158 0.658 0.500 1
C4 C 0.842 0.342 0.500 1
# - Excess energy over the best structure of this formula in the dataset: 906 meV/atom
# - Energy of formation: 0.8824 eV/atom
# - Electronic total energy: -8.13 eV per atom



# NaNdSiO4 (GGA-PBE, relaxed)
data_NaNdSiO4
_chemical_formula_sum 'Na12 Nd12 Si12 O48'
_symmetry_space_group_name_H-M 'P 1'
_symmetry_Int_Tables_number 1
_cell_length_a 5.562
_cell_length_b 9.368
_cell_length_c 21.104
_cell_angle_alpha 90.00
_cell_angle_beta 90.00
_cell_angle_gamma 90.00
loop_
_symmetry_equiv_pos_as_xyz
'x,y,z'
loop_
_atom_site_label
_atom_site_type_symbol
_atom_site_fract_x
_atom_site_fract_y
_atom_site_fract_z
_atom_site_occupancy
O1 O 0.549 0.570 0.391 1
O2 O 0.924 0.942 0.001 1
O3 O 0.270 0.165 0.577 1
O4 O 0.537 0.571 0.056 1
O5 O 0.770 0.835 0.423 1
O6 O 0.037 0.071 0.444 1
O7 O 0.924 0.558 0.501 1
O8 O 0.770 0.804 0.753 1
O9 O 0.930 0.425 0.274 1
O10 O 0.246 0.646 0.274 1
O11 O 0.066 0.941 0.668 1
O12 O 0.252 0.689 0.931 1
O13 O 0.246 0.342 0.394 1
O14 O 0.930 0.075 0.774 1
O15 O 0.424 0.442 0.499 1
O16 O 0.246 0.158 0.894 1
O17 O 0.049 0.070 0.109 1
O18 O 0.270 0.335 0.077 1
O19 O 0.037 0.429 0.944 1
O20 O 0.770 0.696 0.253 1
O21 O 0.746 0.146 0.226 1
O22 O 0.246 0.854 0.774 1
O23 O 0.566 0.441 0.832 1
O24 O 0.746 0.354 0.726 1
O25 O 0.726 0.308 0.416 1
O26 O 0.746 0.658 0.606 1
O27 O 0.071 0.943 0.333 1
O28 O 0.549 0.930 0.891 1
O29 O 0.746 0.842 0.106 1
O30 O 0.270 0.304 0.747 1
O31 O 0.226 0.808 0.084 1
O32 O 0.752 0.189 0.569 1
O33 O 0.071 0.557 0.833 1
O34 O 0.752 0.311 0.069 1
O35 O 0.726 0.192 0.916 1
O36 O 0.566 0.059 0.332 1
O37 O 0.537 0.929 0.556 1
O38 O 0.049 0.430 0.609 1
O39 O 0.430 0.925 0.226 1
O40 O 0.430 0.575 0.726 1
O41 O 0.226 0.692 0.584 1
O42 O 0.270 0.196 0.247 1
O43 O 0.066 0.559 0.168 1
O44 O 0.252 0.811 0.431 1
O45 O 0.571 0.443 0.167 1
O46 O 0.424 0.058 0.999 1
O47 O 0.571 0.057 0.667 1
O48 O 0.770 0.665 0.923 1
Nd1 Nd 0.472 0.697 0.166 1
Nd2 Nd 0.989 0.199 0.667 1
Nd3 Nd 0.472 0.803 0.666 1
Nd4 Nd 0.038 0.196 0.001 1
Nd5 Nd 0.489 0.699 0.833 1
Nd6 Nd 0.989 0.301 0.167 1
Nd7 Nd 0.489 0.801 0.333 1
Nd8 Nd 0.538 0.804 0.999 1
Nd9 Nd 0.038 0.304 0.501 1
Nd10 Nd 0.538 0.696 0.499 1
Nd11 Nd 0.972 0.197 0.334 1
Nd12 Nd 0.972 0.303 0.834 1
Na1 Na 0.984 0.926 0.224 1
Na2 Na 0.484 0.074 0.776 1
Na3 Na 0.044 0.933 0.556 1
Na4 Na 0.494 0.427 0.609 1
Na5 Na 0.544 0.067 0.444 1
Na6 Na 0.044 0.567 0.056 1
Na7 Na 0.994 0.927 0.891 1
Na8 Na 0.984 0.574 0.724 1
Na9 Na 0.994 0.573 0.391 1
Na10 Na 0.484 0.426 0.276 1
Na11 Na 0.544 0.433 0.944 1
Na12 Na 0.494 0.073 0.109 1
Si1 Si 0.494 0.083 0.257 1
Si2 Si 0.029 0.914 0.409 1
Si3 Si 0.493 0.086 0.923 1
Si4 Si 0.993 0.914 0.077 1
Si5 Si 0.993 0.586 0.577 1
Si6 Si 0.494 0.417 0.757 1
Si7 Si 0.529 0.414 0.091 1
Si8 Si 0.493 0.414 0.423 1
Si9 Si 0.529 0.086 0.591 1
Si10 Si 0.029 0.586 0.909 1
Si11 Si 0.994 0.917 0.743 1
Si12 Si 0.994 0.583 0.243 1
# - Excess energy over the best structure of this formula in the dataset: 0 meV/atom
# - Formation energy from raw total energies: -2892 meV per atom
# - Electronic total energy: -7.37 eV per atom